Computed, not measured: ScGa2OsF after structural relaxation at the GGA-PBE level of DFT.

Computed properties:
- SG: P4/mmm
- Energy: -4.22 eV per atom
- Total magnetization: 0.65 μB per formula unit

a = 5.465 Å, b = 4.625 Å, c = 5.465 Å
α = 90.00°, β = 90.00°, γ = 90.00°
Each line ends with the local moment (μB).
Positions (direct):
1 Ga 0.000 0.000 0.500  -0.04
2 Sc 0.000 0.000 0.000  -0.18
3 Os 0.000 0.500 0.000  1.00
4 F 0.500 0.500 0.500  0.01
5 Ga 0.500 0.000 0.000  -0.06

---

Computed, not measured: GaOsSeF2 after structural relaxation at the GGA-PBE level of DFT.

Computed properties:
- SG: P4/mmm
- Energy: -4.45 eV per atom
- Total magnetization: 0.82 μB per formula unit

a = 4.086 Å, b = 4.866 Å, c = 4.086 Å
α = 90.00°, β = 90.00°, γ = 90.00°
Each line ends with the local moment (μB).
Positions (direct):
1 F 0.000 0.000 0.500  -0.01
2 F 0.500 0.000 0.000  0.00
3 Se 0.000 0.000 0.000  -0.01
4 Os 0.000 0.500 0.000  0.79
5 Ga 0.500 0.500 0.500  -0.01

---

Computed, not measured: GaTcOs2F after structural relaxation at the GGA-PBE level of DFT.

Computed properties:
- SG: P4/mmm
- Energy: -6.29 eV per atom
- Total magnetization: 1.45 μB per formula unit

a = 4.728 Å, b = 3.623 Å, c = 4.728 Å
α = 90.00°, β = 90.00°, γ = 90.00°
Each line ends with the local moment (μB).
Positions (direct):
1 Ga 0.000 0.000 0.000  0.01
2 Os 0.000 0.000 0.500  -0.30
3 Tc 0.500 0.500 0.500  1.90
4 F 0.000 0.500 0.000  -0.03
5 Os 0.500 0.000 0.000  -0.27

---

Computed, not measured: TiGaOs2F after structural relaxation at the GGA-PBE level of DFT.

Computed properties:
- SG: P4/mmm
- Energy: -5.59 eV per atom
- Total magnetization: 1.76 μB per formula unit

a = 4.543 Å, b = 4.928 Å, c = 4.543 Å
α = 90.00°, β = 90.00°, γ = 90.00°
Each line ends with the local moment (μB).
Positions (direct):
1 Ga 0.000 0.000 0.000  -0.04
2 Os 0.000 0.000 0.500  1.44
3 F 0.500 0.500 0.500  0.13
4 Os 0.500 0.000 0.000  1.30
5 Ti 0.000 0.500 0.000  -1.10

---

Number 1: volume 27.62 Å³/atom, formation energy from raw total energies 877.6 meV/atom. Number 2: volume 16.25 Å³/atom, formation energy from raw total energies -149.5 meV/atom. Number 3: volume 16.20 Å³/atom, formation energy from raw total energies 1249.8 meV/atom. Number 4: volume 20.34 Å³/atom, formation energy from raw total energies 1462.6 meV/atom.